The following is a DFT calculation (PBE) of a relaxed structure of DyMg4Tl2.

Cell lengths 8.714, 8.714, 4.564 Å; angles 90.00, 90.00, 90.00 degrees
Space group P4_2/mnm (No. 136)
Inequivalent atoms, fractional coordinates:
Dy  0.000  0.000  0.000 x2
Mg  0.101  0.348  0.500 x8
Tl  0.191  0.809  0.500 x4

Values from the calculation:
DFT formation energy (eV/atom): -0.10
Calculated volume (Å³/cell): 346.53
DOS(E_F) (states/eV/atom): 0.5982